No. 1
Entry from the Alexandria database: SbPb4Au after structural relaxation (PBE-GGA).

Computed properties:
Total energy ... -22.2 eV/f.u.
DOS(E_F) ... 0.535 states/eV/atom
Total magnetization ... 0.000 μB per formula unit
Volume ... 354.3 Å³/cell
Raw formation energy ... -1 kJ/mol of formula units
Energy relative to the lowest polymorph listed for this composition ... 0.13 kcal/mol of atoms

Cell: 7.7042 7.7042 5.9690 Å, 90.00 90.00 90.00°
Space group P4/mcc (No. 124)
One atom of each set of equivalent atoms:
Sb (0.0000, 0.0000, 0.2500) [2 per cell]
Pb (0.1745, 0.3614, 0.0000) [8 per cell]
Au (0.5000, 0.5000, 0.2500) [2 per cell]

=====

No. 2
Entry from the Alexandria database: Tb3Nd2DyHo6 after structural relaxation (PBE-GGA).

Computed properties:
Total energy ... -55.3 eV/f.u.
DOS(E_F) ... 1.256 states/eV/atom
Total magnetization ... 0.000 μB per formula unit
Volume ... 764.1 Å³/cell
Energy of formation ... 16.2 meV/atom

Cell: 6.1708 10.6803 11.7737 Å, 90.00 100.01 90.00°
Space group C2/m (No. 12)
One atom of each set of equivalent atoms:
Tb (0.0000, 0.0000, 0.0000) [2 per cell]
Tb (0.0000, 0.3335, 0.0000) [4 per cell]
Nd (0.0000, 0.1666, 0.5000) [4 per cell]
Dy (0.0000, 0.5000, 0.5000) [2 per cell]
Ho (0.2480, 0.5000, 0.2477) [4 per cell]
Ho (0.2490, 0.1664, 0.2479) [8 per cell]

=====

What is the total magnetization in the second record? 0.000 μB per formula unit